1.
Entry from Alexandria: a relaxed LaVNF2 crystal (PBE+U).

Cell: 4.603 4.603 4.726 Å, 90.00 90.00 90.00°
Fractional coordinates of all 5 atoms:
La  0.000  0.000  0.000
V  0.500  0.500  0.500
N  0.000  0.000  0.500
F  0.000  0.500  0.000
F  0.500  0.000  0.000

## Properties
As for the symmetry: P4/mmm. The value obtained for the total energy is -6.193 eV per atom. The calculation puts the energy above the most stable polymorph in this dataset at 659 meV per atom.

2.
Entry from Alexandria: a relaxed LaVNF2 crystal (PBE+U).

Cell: 3.977 3.977 4.464 Å, 90.00 90.00 90.00°
Fractional coordinates of all 5 atoms:
La  0.000  0.000  0.000
V  0.500  0.500  0.500
N  0.500  0.500  0.000
F  0.000  0.500  0.500
F  0.500  0.000  0.500

## Properties
As for the symmetry: P4/mmm. The value obtained for the total energy is -6.852 eV per atom. The calculation puts the energy above the most stable polymorph in this dataset at 0 meV per atom.

3.
Entry from Alexandria: a relaxed LaWN2F crystal (PBE+U).

Cell: 4.091 4.091 4.151 Å, 90.00 90.00 90.00°
Fractional coordinates of all 5 atoms:
La  0.000  0.000  0.000
W  0.500  0.500  0.500
N  0.000  0.500  0.500
N  0.500  0.000  0.500
F  0.500  0.500  0.000

## Properties
As for the symmetry: P4/mmm. The value obtained for the total energy is -7.200 eV per atom. The calculation puts the energy above the most stable polymorph in this dataset at 0 meV per atom.

4.
Entry from Alexandria: a relaxed LaWN2F crystal (PBE+U).

Cell: 4.598 4.598 4.401 Å, 90.00 90.00 90.00°
Fractional coordinates of all 5 atoms:
La  0.000  0.000  0.000
W  0.500  0.500  0.500
N  0.000  0.500  0.000
N  0.500  0.000  0.000
F  0.000  0.000  0.500

## Properties
As for the symmetry: P4/mmm. The value obtained for the total energy is -5.591 eV per atom. The calculation puts the energy above the most stable polymorph in this dataset at 1608 meV per atom.